First-principles (GGA+U) data for a geometry-optimized Li2MnB2O6 structure, as listed in the Alexandria database.

The space group is P2_1/c (No. 14) and the conventional cell measures 5.4662, 7.7379 and 5.9588 Å, with angles of 90.00, 118.49 and 90.00 degrees. The inequivalent atoms are Li at (0.1122, 0.0658, 0.3075), Mn at (0.5000, 0.0000, 0.0000), B at (0.3720, 0.7423, 0.1280), O at (0.2259, 0.6030, 0.5833), O at (0.2694, 0.5852, 0.1552) and O at (0.3871, 0.2379, 0.8946).

The total magnetization comes out at 2.95 μB per formula unit. The energy comes out at -6.993 eV/atom.